Record 1
PaMn3Si2 (GGA-PBE, optimized geometry); raw total energy = -151.39 eV/cell; E_form (uncorrected) = -0.435 eV/atom; SG = C2/m
1.0
3.8426 0.0000 0.0000
-1.9213 7.4402 -2.3778
0.0000 0.0288 9.3176
Pa Mn Si
3 9 6
Cartesian
0.0000 2.3939 5.8393
1.9213 5.0751 1.1005
0.0000 0.0000 0.0000
0.0000 0.7271 3.0895
1.9213 6.7418 3.8502
0.0000 3.0997 2.6733
1.9213 4.3693 4.2665
1.9213 1.8094 1.3039
0.0000 5.6596 5.6359
1.9213 0.0144 4.6588
0.0000 4.7784 -1.2750
1.9213 2.6905 8.2147
0.0000 2.9661 0.2986
1.9213 4.5029 6.6412
0.0000 6.9495 -0.1240
1.9213 0.5194 7.0638
0.0000 5.3385 3.2780
1.9213 2.1304 3.6618


Record 2
ScTcAu2 (GGA-PBE, optimized geometry); raw total energy = -23.90 eV/cell; energy above the most stable polymorph in this dataset = 76 meV per atom; SG = Pmm2
1.0
4.6209 0.0000 0.0000
0.0000 3.0735 -0.0074
0.0000 0.0131 4.9126
Au Sc Tc
2 1 1
Cartesian
0.0000 0.3963 4.6110
2.3104 0.3878 1.4564
0.0000 1.9262 2.2189
2.3104 1.9326 3.9841


Record 3
PuNiRu2 (GGA-PBE, optimized geometry); raw total energy = -38.88 eV/cell; SG = P4/mmm
1.0
-3.2172 1.8644 0.3399
-1.2732 -1.5528 -3.5331
-1.6228 -3.1601 1.9737
Ru Ni Pu
2 1 1
Cartesian
-0.8114 -1.5801 0.9868
-0.6366 -0.7764 -1.7666
-3.0566 -1.4243 -0.6098
-1.6086 0.9322 0.1700


Record 4
NpTlCuF6 (GGA-PBE, optimized geometry); raw total energy = -106.67 eV/cell; E_form (uncorrected) = -2.522 eV/atom; SG = P-31c
1.0
-4.8637 0.1585 -3.2093
5.1022 -1.2982 -2.5025
-1.8912 -11.8307 2.2817
Np Tl Cu F
2 2 2 12
Cartesian
-2.0146 -3.2847 -2.4033
0.3618 -9.6857 -1.0268
0.0000 0.0000 0.0000
-0.9456 -5.9154 1.1408
1.3074 -3.7703 -2.1677
-2.9601 -9.2001 -1.2624
-0.1531 -2.4972 -3.2721
-3.2650 -2.0953 -3.7678
2.0753 -8.9295 -2.1812
1.6123 -10.8751 0.3377
-0.5933 -4.5521 -1.3016
-2.2877 -4.7973 -3.9773
0.4076 -11.2449 -2.5783
-3.7280 -4.0409 -1.2489
0.6350 -8.1731 0.5472
-2.0603 -1.7255 -0.8518
-1.0595 -8.4183 -2.1285
-1.4996 -10.4733 -0.1580


Record 5
ZrGaSb3 (GGA-PBE, optimized geometry); raw total energy = -20.69 eV/cell; E_form (uncorrected) = 0.651 eV/atom; energy above the most stable polymorph in this dataset = 413 meV per atom; SG = Pm-3m
1.0
-0.6519 3.0644 -4.1624
2.4433 -3.5143 -2.9700
-4.5548 -2.3237 -0.9974
Sb Ga Zr
3 1 1
Cartesian
1.2216 -1.7572 -1.4850
-2.2774 -1.1619 -0.4987
-0.3260 1.5322 -2.0812
0.0000 0.0000 0.0000
-1.3817 -1.3869 -4.0649


Record 6
Sm4Ga2Rh (GGA-PBE, optimized geometry); raw total energy = -35.52 eV/cell; SG = Cmmm
1.0
-3.1150 -0.6788 -3.8614
3.3246 -4.9308 -1.8151
-4.4246 -1.9456 3.9113
Rh Ga Sm
1 2 4
Cartesian
-2.1075 -3.7776 -0.8826
1.4497 -4.2085 -0.4297
-2.5498 -2.6678 2.5258
-0.8170 -5.1075 1.5569
-0.2830 -1.7689 0.5392
-3.7698 -1.3122 0.0249
0.1048 -2.8048 -2.8383


Question: Which value of raw total energy does entry 2 give?
Answer: -23.90 eV/cell


Question: Which of these has the highest raw total energy?
Answer: ZrGaSb3


Copy entry 5 word for word.
ZrGaSb3 (GGA-PBE, optimized geometry); raw total energy = -20.69 eV/cell; E_form (uncorrected) = 0.651 eV/atom; energy above the most stable polymorph in this dataset = 413 meV per atom; SG = Pm-3m
1.0
-0.6519 3.0644 -4.1624
2.4433 -3.5143 -2.9700
-4.5548 -2.3237 -0.9974
Sb Ga Zr
3 1 1
Cartesian
1.2216 -1.7572 -1.4850
-2.2774 -1.1619 -0.4987
-0.3260 1.5322 -2.0812
0.0000 0.0000 0.0000
-1.3817 -1.3869 -4.0649